TmFe2: optimized geometry, GGA-PBE.

a = 4.900 Å, b = 4.900 Å, c = 5.209 Å
α = 90.00°, β = 90.00°, γ = 90.00°
Atoms (fractional coordinates):
1 Tm 0.000 0.000 0.000
2 Tm 0.500 0.500 0.500
3 Fe 0.149 0.149 0.500
4 Fe 0.351 0.649 0.000
5 Fe 0.649 0.351 0.000
6 Fe 0.851 0.851 0.500

Output
The energy relative to the elements comes out at 1.15 eV per atom. The calculation puts the mass density at 7.5 Mg/m³.

Tm2Fe: optimized geometry, GGA-PBE.

a = 7.642 Å, b = 7.642 Å, c = 7.642 Å
α = 60.00°, β = 60.00°, γ = 60.00°
Atoms (fractional coordinates):
1 Tm 0.000 0.000 0.000
2 Tm 0.000 0.000 0.500
3 Tm 0.000 0.500 0.000
4 Tm 0.500 0.000 0.000
5 Fe 0.125 0.125 0.125
6 Fe 0.875 0.875 0.875

Output
The energy relative to the elements comes out at 1.11 eV per atom. The calculation puts the mass density at 4.1 Mg/m³.

Tm3Fe: optimized geometry, GGA-PBE.

a = 5.728 Å, b = 5.728 Å, c = 5.728 Å
α = 133.24°, β = 133.24°, γ = 68.28°
Atoms (fractional coordinates):
1 Tm 0.000 0.000 0.000
2 Tm 0.250 0.750 0.500
3 Tm 0.750 0.250 0.500
4 Fe 0.500 0.500 0.000

Output
The energy relative to the elements comes out at 0.30 eV per atom. The calculation puts the mass density at 9.5 Mg/m³.

Tm2Fe: optimized geometry, GGA-PBE.

a = 5.801 Å, b = 5.801 Å, c = 5.801 Å
α = 60.00°, β = 60.00°, γ = 60.00°
Atoms (fractional coordinates):
1 Tm 0.000 0.000 0.000
2 Tm 0.000 0.000 0.500
3 Tm 0.000 0.500 0.000
4 Tm 0.500 0.000 0.000
5 Fe 0.375 0.375 0.375
6 Fe 0.625 0.625 0.625

Output
The energy relative to the elements comes out at 1.31 eV per atom. The calculation puts the mass density at 9.5 Mg/m³.

TmFe3: optimized geometry, GGA-PBE.

a = 3.896 Å, b = 3.896 Å, c = 3.896 Å
α = 90.00°, β = 90.00°, γ = 90.00°
Atoms (fractional coordinates):
1 Tm 0.000 0.000 0.000
2 Fe 0.000 0.500 0.500
3 Fe 0.500 0.000 0.500
4 Fe 0.500 0.500 0.000

Output
The energy relative to the elements comes out at 0.22 eV per atom. The calculation puts the mass density at 9.4 Mg/m³.

TmFe2: optimized geometry, GGA-PBE.

a = 5.029 Å, b = 5.029 Å, c = 5.029 Å
α = 60.00°, β = 60.00°, γ = 60.00°
Atoms (fractional coordinates):
1 Tm 0.125 0.125 0.125
2 Tm 0.875 0.875 0.875
3 Fe 0.000 0.500 0.500
4 Fe 0.500 0.000 0.500
5 Fe 0.500 0.500 0.000
6 Fe 0.500 0.500 0.500

Output
The energy relative to the elements comes out at -0.14 eV per atom. The calculation puts the mass density at 10.4 Mg/m³.

Tm6Fe23: optimized geometry, GGA-PBE.

a = 8.355 Å, b = 8.355 Å, c = 8.355 Å
α = 60.00°, β = 60.00°, γ = 60.00°
Atoms (fractional coordinates):
1 Tm 0.208 0.208 0.792
2 Tm 0.208 0.792 0.208
3 Tm 0.208 0.792 0.792
4 Tm 0.792 0.208 0.208
5 Tm 0.792 0.208 0.792
6 Tm 0.792 0.792 0.208
7 Fe 0.000 0.000 0.500
8 Fe 0.000 0.500 0.000
9 Fe 0.000 0.500 0.500
10 Fe 0.136 0.621 0.621
11 Fe 0.175 0.175 0.175
12 Fe 0.175 0.175 0.476
13 Fe 0.175 0.476 0.175
14 Fe 0.379 0.379 0.379
15 Fe 0.379 0.379 0.864
16 Fe 0.379 0.864 0.379
17 Fe 0.476 0.175 0.175
18 Fe 0.500 0.000 0.000
19 Fe 0.500 0.000 0.500
20 Fe 0.500 0.500 0.000
21 Fe 0.500 0.500 0.500
22 Fe 0.524 0.825 0.825
23 Fe 0.621 0.136 0.621
24 Fe 0.621 0.621 0.136
25 Fe 0.621 0.621 0.621
26 Fe 0.825 0.524 0.825
27 Fe 0.825 0.825 0.524
28 Fe 0.825 0.825 0.825
29 Fe 0.864 0.379 0.379

Output
The energy relative to the elements comes out at -0.08 eV per atom. The calculation puts the mass density at 9.3 Mg/m³.

Tm3Fe2: optimized geometry, GGA-PBE.

a = 6.712 Å, b = 6.712 Å, c = 9.254 Å
α = 109.50°, β = 109.50°, γ = 33.21°
Atoms (fractional coordinates):
1 Tm 0.108 0.108 0.178
2 Tm 0.363 0.363 0.122
3 Tm 0.365 0.365 0.507
4 Tm 0.635 0.635 0.493
5 Tm 0.637 0.637 0.878
6 Tm 0.892 0.892 0.822
7 Fe 0.043 0.043 0.635
8 Fe 0.230 0.230 0.740
9 Fe 0.770 0.770 0.260
10 Fe 0.957 0.957 0.365

Output
The energy relative to the elements comes out at -0.03 eV per atom. The calculation puts the mass density at 9.6 Mg/m³.

Tm3Fe: optimized geometry, GGA-PBE.

a = 6.633 Å, b = 6.633 Å, c = 5.050 Å
α = 90.00°, β = 90.00°, γ = 120.00°
Atoms (fractional coordinates):
1 Tm 0.175 0.350 0.250
2 Tm 0.175 0.825 0.250
3 Tm 0.350 0.175 0.750
4 Tm 0.650 0.825 0.250
5 Tm 0.825 0.175 0.750
6 Tm 0.825 0.650 0.750
7 Fe 0.333 0.667 0.750
8 Fe 0.667 0.333 0.250

Output
The energy relative to the elements comes out at 0.21 eV per atom. The calculation puts the mass density at 9.7 Mg/m³.

Tm8Fe: optimized geometry, GGA-PBE.

a = 8.898 Å, b = 8.898 Å, c = 3.589 Å
α = 90.00°, β = 90.00°, γ = 120.00°
Atoms (fractional coordinates):
1 Tm 0.000 0.238 0.000
2 Tm 0.000 0.622 0.500
3 Tm 0.238 0.000 0.000
4 Tm 0.333 0.667 0.000
5 Tm 0.378 0.378 0.500
6 Tm 0.622 0.000 0.500
7 Tm 0.667 0.333 0.000
8 Tm 0.762 0.762 0.000
9 Fe 0.000 0.000 0.500

Output
The energy relative to the elements comes out at 0.03 eV per atom. The calculation puts the mass density at 9.5 Mg/m³.

Tm3Fe: optimized geometry, GGA-PBE.

a = 5.146 Å, b = 5.146 Å, c = 5.146 Å
α = 60.00°, β = 60.00°, γ = 60.00°
Atoms (fractional coordinates):
1 Tm 0.000 0.000 0.000
2 Tm 0.250 0.250 0.250
3 Tm 0.750 0.750 0.750
4 Fe 0.500 0.500 0.500

Output
The energy relative to the elements comes out at 0.34 eV per atom. The calculation puts the mass density at 9.7 Mg/m³.

TmFe12: optimized geometry, GGA-PBE.

a = 6.313 Å, b = 6.313 Å, c = 6.313 Å
α = 97.69°, β = 97.69°, γ = 137.08°
Atoms (fractional coordinates):
1 Tm 0.000 0.000 0.000
2 Fe 0.000 0.000 0.500
3 Fe 0.000 0.359 0.359
4 Fe 0.000 0.500 0.000
5 Fe 0.000 0.641 0.641
6 Fe 0.275 0.500 0.775
7 Fe 0.359 0.000 0.359
8 Fe 0.500 0.000 0.000
9 Fe 0.500 0.275 0.775
10 Fe 0.500 0.500 0.500
11 Fe 0.500 0.725 0.225
12 Fe 0.641 0.000 0.641
13 Fe 0.725 0.500 0.225

Output
The energy relative to the elements comes out at -0.01 eV per atom. The calculation puts the mass density at 8.7 Mg/m³.

TmFe: optimized geometry, GGA-PBE.

a = 3.376 Å, b = 3.376 Å, c = 3.989 Å
α = 90.00°, β = 90.00°, γ = 120.00°
Atoms (fractional coordinates):
1 Tm 0.000 0.000 0.000
2 Fe 0.333 0.667 0.500

Output
The energy relative to the elements comes out at 0.42 eV per atom. The calculation puts the mass density at 9.5 Mg/m³.

TmFeW: optimized geometry, GGA-PBE.

a = 4.303 Å, b = 4.303 Å, c = 4.303 Å
α = 60.00°, β = 60.00°, γ = 60.00°
Atoms (fractional coordinates):
1 Tm 0.000 0.000 0.000
2 Fe 0.250 0.250 0.250
3 W 0.500 0.500 0.500

Output
The energy relative to the elements comes out at 0.55 eV per atom. Its excess energy over the best structure of this formula in the dataset is 0.000 eV per atom. The calculation puts the mass density at 12.0 Mg/m³.

TmFeW: optimized geometry, GGA-PBE.

a = 4.472 Å, b = 4.472 Å, c = 4.472 Å
α = 60.00°, β = 60.00°, γ = 60.00°
Atoms (fractional coordinates):
1 Tm 0.000 0.000 0.000
2 Fe 0.750 0.750 0.750
3 W 0.250 0.250 0.250

Output
The energy relative to the elements comes out at 1.87 eV per atom. Its excess energy over the best structure of this formula in the dataset is 1.313 eV per atom. The calculation puts the mass density at 10.7 Mg/m³.

TmZrFe4: optimized geometry, GGA-PBE.

a = 5.011 Å, b = 5.011 Å, c = 5.011 Å
α = 60.00°, β = 60.00°, γ = 60.00°
Atoms (fractional coordinates):
1 Tm 0.000 0.000 0.000
2 Zr 0.250 0.250 0.250
3 Fe 0.125 0.625 0.625
4 Fe 0.625 0.125 0.625
5 Fe 0.625 0.625 0.125
6 Fe 0.625 0.625 0.625

Output
The energy relative to the elements comes out at -0.22 eV per atom. The calculation puts the mass density at 9.0 Mg/m³.

U2Fe: optimized geometry, GGA-PBE.

a = 7.692 Å, b = 7.692 Å, c = 7.692 Å
α = 60.00°, β = 60.00°, γ = 60.00°
Atoms (fractional coordinates):
1 U 0.000 0.000 0.000
2 U 0.000 0.000 0.500
3 U 0.000 0.500 0.000
4 U 0.500 0.000 0.000
5 Fe 0.125 0.125 0.125
6 Fe 0.875 0.875 0.875

Output
The energy relative to the elements comes out at 1.87 eV per atom. The calculation puts the mass density at 5.5 Mg/m³.

U3Fe: optimized geometry, GGA-PBE.

a = 4.184 Å, b = 4.184 Å, c = 4.184 Å
α = 90.00°, β = 90.00°, γ = 90.00°
Atoms (fractional coordinates):
1 U 0.000 0.000 0.500
2 U 0.000 0.500 0.000
3 U 0.500 0.000 0.000
4 Fe 0.500 0.500 0.500

Output
The energy relative to the elements comes out at 0.47 eV per atom. The calculation puts the mass density at 17.5 Mg/m³.

UFe3: optimized geometry, GGA-PBE.

a = 4.218 Å, b = 4.218 Å, c = 4.218 Å
α = 60.00°, β = 60.00°, γ = 60.00°
Atoms (fractional coordinates):
1 U 0.000 0.000 0.000
2 Fe 0.250 0.250 0.250
3 Fe 0.500 0.500 0.500
4 Fe 0.750 0.750 0.750

Output
The energy relative to the elements comes out at 0.15 eV per atom. The calculation puts the mass density at 12.7 Mg/m³.

UFe3: optimized geometry, GGA-PBE.

a = 5.315 Å, b = 5.315 Å, c = 4.360 Å
α = 90.00°, β = 90.00°, γ = 120.00°
Atoms (fractional coordinates):
1 U 0.333 0.667 0.250
2 U 0.667 0.333 0.750
3 Fe 0.162 0.323 0.750
4 Fe 0.162 0.838 0.750
5 Fe 0.323 0.162 0.250
6 Fe 0.677 0.838 0.750
7 Fe 0.838 0.162 0.250
8 Fe 0.838 0.677 0.250

Output
The energy relative to the elements comes out at -0.04 eV per atom. The calculation puts the mass density at 12.6 Mg/m³.

U3Fe: optimized geometry, GGA-PBE.

a = 4.609 Å, b = 4.609 Å, c = 4.609 Å
α = 60.00°, β = 60.00°, γ = 60.00°
Atoms (fractional coordinates):
1 U 0.000 0.000 0.000
2 U 0.250 0.250 0.250
3 U 0.750 0.750 0.750
4 Fe 0.500 0.500 0.500

Output
The energy relative to the elements comes out at 0.10 eV per atom. The calculation puts the mass density at 18.5 Mg/m³.

U3Fe: optimized geometry, GGA-PBE.

a = 5.991 Å, b = 5.991 Å, c = 4.692 Å
α = 90.00°, β = 90.00°, γ = 120.00°
Atoms (fractional coordinates):
1 U 0.181 0.362 0.250
2 U 0.181 0.819 0.250
3 U 0.362 0.181 0.750
4 U 0.638 0.819 0.250
5 U 0.819 0.181 0.750
6 U 0.819 0.638 0.750
7 Fe 0.333 0.667 0.750
8 Fe 0.667 0.333 0.250

Output
The energy relative to the elements comes out at 0.31 eV per atom. The calculation puts the mass density at 17.5 Mg/m³.

UFe3: optimized geometry, GGA-PBE.

a = 4.522 Å, b = 4.522 Å, c = 4.522 Å
α = 130.36°, β = 130.36°, γ = 72.83°
Atoms (fractional coordinates):
1 U 0.000 0.000 0.000
2 Fe 0.250 0.750 0.500
3 Fe 0.500 0.500 0.000
4 Fe 0.750 0.250 0.500

Output
The energy relative to the elements comes out at -0.01 eV per atom. The calculation puts the mass density at 12.8 Mg/m³.

YUFe2: optimized geometry, GGA-PBE.

a = 6.394 Å, b = 4.834 Å, c = 9.477 Å
α = 90.00°, β = 90.00°, γ = 90.00°
Atoms (fractional coordinates):
1 Y 0.145 0.250 0.145
2 Y 0.355 0.750 0.645
3 Y 0.645 0.250 0.355
4 Y 0.855 0.750 0.855
5 U 0.017 0.250 0.631
6 U 0.483 0.750 0.131
7 U 0.517 0.250 0.869
8 U 0.983 0.750 0.369
9 Fe 0.121 0.250 0.848
10 Fe 0.225 0.250 0.459
11 Fe 0.275 0.750 0.959
12 Fe 0.379 0.750 0.348
13 Fe 0.621 0.250 0.652
14 Fe 0.725 0.250 0.041
15 Fe 0.775 0.750 0.541
16 Fe 0.879 0.750 0.152

Output
The energy relative to the elements comes out at -0.14 eV per atom. The calculation puts the mass density at 9.9 Mg/m³.

YUFe: optimized geometry, GGA-PBE.

a = 4.526 Å, b = 4.526 Å, c = 4.526 Å
α = 60.00°, β = 60.00°, γ = 60.00°
Atoms (fractional coordinates):
1 Y 0.000 0.000 0.000
2 U 0.500 0.500 0.500
3 Fe 0.250 0.250 0.250

Output
The energy relative to the elements comes out at 0.58 eV per atom. Its excess energy over the best structure of this formula in the dataset is 0.000 eV per atom. The calculation puts the mass density at 9.7 Mg/m³.